Entry 1
This record from Alexandria describes a geometry-optimized K3Se structure. The functional is PBE.

abc: 4.6132 7.7661 11.0512
angles: 90.00 90.00 90.00
With the nearest neighbours (Å) after each atom.
Fractional coordinates of all 8 atoms:
1 K 0.0000 0.2765 0.1878  2 Se 3.29, 1 K 3.47
2 K 0.5000 0.0000 0.4699  2 Se 3.19
3 K 0.5000 0.2235 0.8122  2 Se 3.29, 1 K 3.47
4 K 0.5000 0.7765 0.8122  2 Se 3.29, 1 K 3.47
5 K 0.0000 0.5000 0.5301  2 Se 3.19
6 K 0.0000 0.7235 0.1878  2 Se 3.29, 1 K 3.47
7 Se 0.0000 0.0000 0.6690  6 K 3.19-3.29
8 Se 0.5000 0.5000 0.3310  6 K 3.19-3.29

M_tot: 0.00 μB per formula unit
Calculated volume: 395.9 Å³ per cell

Entry 2
This record from Alexandria describes a geometry-optimized K3Se structure. The functional is PBE.

abc: 10.3223 10.3223 10.3223
angles: 28.66 28.66 28.66
With the nearest neighbours (Å) after each atom.
Fractional coordinates of all 4 atoms:
1 K 0.5000 0.5000 0.5000  12 K 4.71-5.11
2 K 0.2904 0.2904 0.2904  3 Se 3.21
3 K 0.7096 0.7096 0.7096  3 Se 3.21
4 Se 0.0000 0.0000 0.0000  6 K 3.21

M_tot: 0.00 μB per formula unit
Calculated volume: 223.6 Å³ per cell

Entry 3
This record from Alexandria describes a geometry-optimized K3Se structure. The functional is PBE.

abc: 4.6216 7.9881 7.1977
angles: 123.70 108.73 90.00
With the nearest neighbours (Å) after each atom.
Fractional coordinates of all 4 atoms:
1 Se 0.0000 0.0603 0.0000  6 K 3.19-3.28
2 K 0.6685 0.0541 0.3370  2 Se 3.28
3 K 0.3315 0.7171 0.6630  2 Se 3.28
4 K 0.5000 0.3351 0.0000  2 Se 3.19

M_tot: 0.02 μB per formula unit
Calculated volume: 203.9 Å³ per cell

Entry 4
This record from Alexandria describes a geometry-optimized K3Se structure. The functional is PBE.

abc: 4.6485 4.6509 8.9411
angles: 90.00 90.00 90.00
With the nearest neighbours (Å) after each atom.
Fractional coordinates of all 4 atoms:
1 K 0.0000 0.5000 0.3742  2 Se 3.49, 2 K 3.49
2 K 0.5000 0.5000 0.0831  4 Se 3.29, 4 K 3.49
3 K 0.5000 0.0000 0.7927  2 K 3.49, 2 Se 3.49
4 Se 0.0000 0.0000 0.0833  8 K 3.29-3.49

M_tot: 0.00 μB per formula unit
Calculated volume: 193.3 Å³ per cell

Stability order, top to bottom: entry 1, entry 2, entry 3, entry 4

Entry 1
This record from Alexandria describes a geometry-optimized K2SiSe structure. The functional is PBE.

abc: 4.2620 5.2079 6.4180
angles: 66.04 90.00 90.00
With the nearest neighbours (Å) after each atom.
Fractional coordinates of all 4 atoms:
1 K 0.0000 0.9866 0.9023  3 Se 3.49-3.54, 4 Si 3.49, 2 K 3.89
2 K 0.5000 0.2636 0.3472  4 Se 3.49, 3 Si 3.49-3.53, 2 K 3.89
3 Si 0.5000 0.5653 0.7447  2 Se 2.55
4 Se 0.0000 0.6844 0.5058  2 Si 2.55

M_tot: 0.00 μB per formula unit
Calculated volume: 130.2 Å³ per cell

Entry 2
This record from Alexandria describes a geometry-optimized K2SiSe structure. The functional is PBE.

abc: 5.6333 5.6333 5.6333
angles: 60.00 60.00 60.00
With the nearest neighbours (Å) after each atom.
Fractional coordinates of all 4 atoms:
1 K 0.2500 0.2500 0.2500  4 Se 3.45, 4 Si 3.45
2 K 0.7500 0.7500 0.7500  4 Se 3.45, 4 Si 3.45
3 Se 0.5000 0.5000 0.5000  8 K 3.45
4 Si 0.0000 0.0000 0.0000  8 K 3.45

M_tot: 2.00 μB per formula unit
Calculated volume: 126.4 Å³ per cell

Entry 3
This record from Alexandria describes a geometry-optimized K2SiSe structure. The functional is PBE.

abc: 4.6111 4.6111 5.0854
angles: 90.00 90.00 90.00
With the nearest neighbours (Å) after each atom.
Fractional coordinates of all 4 atoms:
1 Se 0.5000 0.0000 0.5000  4 Si 3.26, 8 K 3.43
2 K 0.5000 0.5000 0.0000  4 K 3.26, 4 Se 3.43, 4 Si 3.43
3 K 0.0000 0.0000 0.0000  4 K 3.26, 4 Se 3.43, 4 Si 3.43
4 Si 0.0000 0.5000 0.5000  4 Se 3.26, 8 K 3.43

M_tot: 0.00 μB per formula unit
Calculated volume: 108.1 Å³ per cell

Entry 4
This record from Alexandria describes a geometry-optimized K2SiSe structure. The functional is PBE.

abc: 6.6569 6.6569 6.6569
angles: 143.84 132.70 60.95
With the nearest neighbours (Å) after each atom.
Fractional coordinates of all 4 atoms:
1 K 0.7368 0.2368 0.5000  4 Si 3.48, 2 Se 3.52, 4 K 3.69-3.81
2 K 0.0153 0.0153 0.0000  4 Se 3.49, 2 Si 3.55, 4 K 3.69-3.81
3 Se 0.4369 0.4369 0.0000  2 Si 2.52
4 Si 0.3110 0.8110 0.5000  2 Se 2.52

M_tot: 0.00 μB per formula unit
Calculated volume: 126.6 Å³ per cell

Stability order, top to bottom: entry 1, entry 4, entry 3, entry 2

Entry 1
This record from Alexandria describes a geometry-optimized K2SiSe structure. The functional is PBE.

abc: 10.8102 10.8102 10.8102
angles: 19.28 19.28 19.28
With the nearest neighbours (Å) after each atom.
Fractional coordinates of all 4 atoms:
1 Si 0.7500 0.7500 0.7500  6 K 3.56, 6 Si 3.62
2 Se 0.2500 0.2500 0.2500  6 K 3.20
3 K 0.9928 0.9928 0.9928  3 Se 3.20, 3 Si 3.56
4 K 0.5072 0.5072 0.5072  3 Se 3.20, 3 Si 3.56

M_tot: 0.61 μB per formula unit
Calculated volume: 120.4 Å³ per cell

Entry 2
This record from Alexandria describes a geometry-optimized K2SiSe structure. The functional is PBE.

abc: 5.0537 5.0537 6.6471
angles: 59.72 59.72 74.45
With the nearest neighbours (Å) after each atom.
Fractional coordinates of all 4 atoms:
1 K 0.6964 0.6964 0.7175  3 Si 3.28-3.64, 2 Se 3.45-3.50, 3 K 3.47-3.50
2 K 0.0547 0.0547 0.0362  4 Se 3.31-3.70, 2 Si 3.43-3.51, 3 K 3.47-3.50
3 Se 0.5337 0.5337 0.3389  1 Si 2.30
4 Si 0.2152 0.2152 0.4074  1 Se 2.30

M_tot: 0.00 μB per formula unit
Calculated volume: 126.6 Å³ per cell

Stability order, top to bottom: entry 2, entry 1

Entry 1
This record from Alexandria describes a geometry-optimized K2SiSe structure. The functional is PBE.

abc: 5.4842 5.4842 5.4842
angles: 60.00 60.00 60.00
With the nearest neighbours (Å) after each atom.
Fractional coordinates of all 4 atoms:
1 K 0.2500 0.2500 0.2500  4 K 3.36, 4 Se 3.36
2 K 0.0000 0.0000 0.0000  4 K 3.36, 4 Si 3.36
3 Si 0.7500 0.7500 0.7500  4 Se 3.36, 4 K 3.36
4 Se 0.5000 0.5000 0.5000  4 Si 3.36, 4 K 3.36

M_tot: 0.00 μB per formula unit
Calculated volume: 116.6 Å³ per cell

Entry 2
This record from Alexandria describes a geometry-optimized K2SiSe structure. The functional is PBE.

abc: 5.4173 5.4173 4.2424
angles: 90.00 90.00 111.75
With the nearest neighbours (Å) after each atom.
Fractional coordinates of all 4 atoms:
1 Si 0.0000 0.5000 0.5000  2 Se 3.04
2 K 0.5000 0.5000 0.0000  2 K 3.04
3 K 0.0000 0.0000 0.0000  2 K 3.04
4 Se 0.5000 0.0000 0.5000  2 Si 3.04

M_tot: 0.92 μB per formula unit
Calculated volume: 115.6 Å³ per cell

Entry 3
This record from Alexandria describes a geometry-optimized K2SiSe structure. The functional is PBE.

abc: 4.3285 4.3456 7.4463
angles: 54.30 90.00 90.00
With the nearest neighbours (Å) after each atom.
Fractional coordinates of all 4 atoms:
1 K 0.0000 0.9891 0.0107  2 K 2.89-3.15
2 K 0.0000 0.5109 0.4893  2 K 2.89-3.15
3 Si 0.5000 0.7500 0.7500  2 Se 3.02
4 Se 0.5000 0.2500 0.2500  2 Si 3.02

M_tot: 0.00 μB per formula unit
Calculated volume: 113.7 Å³ per cell

Stability order, top to bottom: entry 3, entry 2, entry 1

Entry 1
This record from Alexandria describes a geometry-optimized K2SiSe structure. The functional is PBE.

abc: 3.7015 3.7015 9.9007
angles: 90.00 90.00 90.00
With the nearest neighbours (Å) after each atom.
Fractional coordinates of all 4 atoms:
1 K 0.0000 0.0000 0.9148  1 Se 3.32, 4 Si 3.58, 4 K 3.70
2 K 0.5000 0.5000 0.3378  1 Si 3.27, 4 Se 3.55
3 Se 0.0000 0.0000 0.5796  4 Si 2.76
4 Si 0.5000 0.5000 0.6678  4 Se 2.76

M_tot: 0.00 μB per formula unit
Calculated volume: 135.7 Å³ per cell

Entry 2
This record from Alexandria describes a geometry-optimized K2SiSe structure. The functional is PBE.

abc: 6.0794 6.0804 6.0804
angles: 135.94 135.97 64.05
With the nearest neighbours (Å) after each atom.
Fractional coordinates of all 4 atoms:
1 Se 0.7500 0.2500 0.5000  4 Si 3.22, 8 K 3.44
2 K 0.9999 0.9999 0.0000  4 K 3.22, 4 Si 3.44, 4 Se 3.44
3 K 0.5001 0.5001 0.0000  4 K 3.22, 4 Si 3.44, 4 Se 3.44
4 Si 0.2500 0.7500 0.5000  4 Se 3.22, 8 K 3.44

M_tot: 0.00 μB per formula unit
Calculated volume: 107.2 Å³ per cell

Stability order, top to bottom: entry 1, entry 2

Entry 1
This record from Alexandria describes a geometry-optimized KSn2Se2 structure. The functional is PBE.

abc: 4.4714 4.4714 8.0516
angles: 73.88 73.88 90.00
With the nearest neighbours (Å) after each atom.
Fractional coordinates of all 5 atoms:
1 K 0.0000 0.0000 0.0000  8 Se 3.43
2 Se 0.5891 0.5891 0.8219  1 Se 2.64
3 Se 0.4109 0.4109 0.1781  1 Se 2.64
4 Sn 0.2500 0.7500 0.5000  4 Sn 3.16, 4 Se 3.27
5 Sn 0.7500 0.2500 0.5000  4 Sn 3.16, 4 Se 3.27

M_tot: 0.00 μB per formula unit
Calculated volume: 148.0 Å³ per cell

Entry 2
This record from Alexandria describes a geometry-optimized KSn2Se2 structure. The functional is PBE.

abc: 5.5564 5.5564 6.5217
angles: 64.79 64.79 90.00
With the nearest neighbours (Å) after each atom.
Fractional coordinates of all 5 atoms:
1 K 0.0000 0.0000 0.0000  2 Sn 3.59, 8 Se 3.81
2 Sn 0.3446 0.3446 0.3107  4 Se 2.95, 1 Sn 3.23
3 Sn 0.6554 0.6554 0.6893  4 Se 2.95, 1 Sn 3.23
4 Se 0.7500 0.2500 0.5000  4 Sn 2.95
5 Se 0.2500 0.7500 0.5000  4 Sn 2.95

M_tot: 0.00 μB per formula unit
Calculated volume: 160.7 Å³ per cell

Stability order, top to bottom: entry 2, entry 1

Entry 1
This record from Alexandria describes a geometry-optimized KSn2Se2 structure. The functional is PBE.

abc: 8.8732 8.8732 3.8091
angles: 90.00 90.00 90.00
With the nearest neighbours (Å) after each atom.
Fractional coordinates of all 10 atoms:
1 Sn 0.3771 0.8771 0.0000  2 Se 2.79, 1 Sn 3.08
2 Sn 0.8771 0.6229 0.0000  2 Se 2.79, 1 Sn 3.08
3 Sn 0.1229 0.3771 0.0000  2 Se 2.79, 1 Sn 3.08
4 Sn 0.6229 0.1229 0.0000  2 Se 2.79, 1 Sn 3.08
5 Se 0.2143 0.7143 0.5000  2 Sn 2.79
6 Se 0.7857 0.2857 0.5000  2 Sn 2.79
7 Se 0.7143 0.7857 0.5000  2 Sn 2.79
8 Se 0.2857 0.2143 0.5000  2 Sn 2.79
9 K 0.5000 0.5000 0.0000  4 Sn 3.52, 8 Se 3.70, 2 K 3.81
10 K 0.0000 0.0000 0.0000  4 Sn 3.52, 8 Se 3.70, 2 K 3.81

M_tot: 0.00 μB per formula unit
Calculated volume: 299.9 Å³ per cell

Entry 2
This record from Alexandria describes a geometry-optimized KSn2Se2 structure. The functional is PBE.

abc: 8.4368 8.4368 4.0624
angles: 90.00 90.00 90.00
With the nearest neighbours (Å) after each atom.
Fractional coordinates of all 10 atoms:
1 Sn 0.6318 0.8682 0.5000  1 Sn 3.14, 6 Se 3.18-3.24
2 Sn 0.3682 0.1318 0.5000  1 Sn 3.14, 6 Se 3.18-3.24
3 Sn 0.8682 0.3682 0.5000  1 Sn 3.14, 6 Se 3.18-3.24
4 Sn 0.1318 0.6318 0.5000  1 Sn 3.14, 6 Se 3.18-3.24
5 Se 0.3436 0.8436 0.0000  6 Sn 3.18-3.24, 2 K 3.19
6 Se 0.1564 0.3436 0.0000  6 Sn 3.18-3.24, 2 K 3.19
7 Se 0.8436 0.6564 0.0000  6 Sn 3.18-3.24, 2 K 3.19
8 Se 0.6564 0.1564 0.0000  6 Sn 3.18-3.24, 2 K 3.19
9 K 0.5000 0.5000 0.0000  4 Se 3.19
10 K 0.0000 0.0000 0.0000  4 Se 3.19

M_tot: 0.00 μB per formula unit
Calculated volume: 289.2 Å³ per cell

Stability order, top to bottom: entry 1, entry 2

Entry 1
This record from Alexandria describes a geometry-optimized K2SnSe2 structure. The functional is PBE.

abc: 6.6698 12.2391 9.7228
angles: 90.00 90.00 90.00
With the nearest neighbours (Å) after each atom.
Fractional coordinates of all 20 atoms:
1 K 0.7500 0.0532 0.3660  4 Se 3.38-3.45, 1 Sn 3.71
2 K 0.7500 0.5532 0.1340  4 Se 3.38-3.45, 1 Sn 3.71
3 K 0.2500 0.9468 0.6340  4 Se 3.38-3.45, 1 Sn 3.71
4 K 0.2500 0.4468 0.8660  4 Se 3.38-3.45, 1 Sn 3.71
5 K 0.7500 0.5989 0.5851  4 Se 3.30-3.36, 1 Sn 3.49
6 K 0.2500 0.9011 0.0851  4 Se 3.30-3.36, 1 Sn 3.49
7 K 0.2500 0.4011 0.4149  4 Se 3.30-3.36, 1 Sn 3.49
8 K 0.7500 0.0989 0.9149  4 Se 3.30-3.36, 1 Sn 3.49
9 Se 0.2500 0.6273 0.6021  1 Sn 2.57
10 Se 0.2500 0.1273 0.8979  1 Sn 2.57
11 Se 0.7500 0.8727 0.1021  1 Sn 2.57
12 Se 0.2500 0.0889 0.3281  1 Sn 2.58
13 Se 0.7500 0.4111 0.8281  1 Sn 2.58
14 Se 0.7500 0.3727 0.3979  1 Sn 2.57
15 Se 0.7500 0.9111 0.6719  1 Sn 2.58
16 Se 0.2500 0.5889 0.1719  1 Sn 2.58
17 Sn 0.7500 0.7718 0.8705  2 Se 2.57-2.58
18 Sn 0.2500 0.7282 0.3705  2 Se 2.57-2.58
19 Sn 0.7500 0.2718 0.6295  2 Se 2.57-2.58
20 Sn 0.2500 0.2282 0.1295  2 Se 2.57-2.58

M_tot: 0.00 μB per formula unit
Calculated volume: 793.7 Å³ per cell

Entry 2
This record from Alexandria describes a geometry-optimized K2SnSe2 structure. The functional is PBE.

abc: 8.2142 8.4409 10.8017
angles: 90.00 105.13 90.00
With the nearest neighbours (Å) after each atom.
Fractional coordinates of all 20 atoms:
1 Se 0.2911 0.4592 0.5389  2 Sn 2.72
2 Se 0.7089 0.5408 0.4611  2 Sn 2.72
3 Se 0.2089 0.9592 0.4611  2 Sn 2.72
4 Se 0.7829 0.9593 0.1451  1 Sn 2.73
5 Se 0.7171 0.4593 0.8549  1 Sn 2.73
6 Se 0.7911 0.0408 0.5389  2 Sn 2.72
7 Se 0.2171 0.0407 0.8549  1 Sn 2.73
8 Se 0.2829 0.5407 0.1451  1 Sn 2.73
9 Sn 0.5653 0.6408 0.6472  3 Se 2.72-2.73
10 Sn 0.0653 0.8592 0.6472  3 Se 2.72-2.73
11 Sn 0.9347 0.1408 0.3528  3 Se 2.72-2.73
12 Sn 0.4347 0.3592 0.3528  3 Se 2.72-2.73
13 K 0.5175 0.2616 0.0405  4 Se 3.32-3.42, 1 Sn 3.70
14 K 0.4947 0.1473 0.6814  5 Se 3.28-3.46
15 K 0.9825 0.7616 0.9595  4 Se 3.32-3.42, 1 Sn 3.70
16 K 0.0053 0.6473 0.3186  5 Se 3.28-3.46
17 K 0.9947 0.3527 0.6814  5 Se 3.28-3.46
18 K 0.4825 0.7384 0.9595  4 Se 3.32-3.42, 1 Sn 3.70
19 K 0.5053 0.8527 0.3186  5 Se 3.28-3.46
20 K 0.0175 0.2384 0.0405  4 Se 3.32-3.42, 1 Sn 3.70

M_tot: 0.00 μB per formula unit
Calculated volume: 723.0 Å³ per cell

Entry 3
This record from Alexandria describes a geometry-optimized K2SnSe2 structure. The functional is PBE.

abc: 3.9102 3.9102 11.1994
angles: 79.95 79.95 90.00
With the nearest neighbours (Å) after each atom.
Fractional coordinates of all 5 atoms:
1 Se 0.7500 0.2500 0.5000  4 Se 2.76
2 Se 0.2500 0.7500 0.5000  4 Se 2.76
3 K 0.6242 0.6242 0.7517  4 Se 3.36
4 K 0.3758 0.3758 0.2483  4 Se 3.36
5 Sn 0.0000 0.0000 0.0000  8 K 3.86, 4 Sn 3.91

M_tot: 0.00 μB per formula unit
Calculated volume: 165.9 Å³ per cell

Stability order, top to bottom: entry 2, entry 1, entry 3

Entry 1
This record from Alexandria describes a geometry-optimized K2SnSe2 structure. The functional is PBE.

abc: 8.1244 8.1244 4.6693
angles: 90.00 90.00 90.00
With the nearest neighbours (Å) after each atom.
Fractional coordinates of all 10 atoms:
1 Se 0.1787 0.3213 0.0000  2 Sn 2.99, 2 K 3.17
2 Se 0.6787 0.1787 0.0000  2 Sn 2.99, 2 K 3.17
3 Se 0.8213 0.6787 0.0000  2 Sn 2.99, 2 K 3.17
4 Se 0.3213 0.8213 0.0000  2 Sn 2.99, 2 K 3.17
5 K 0.6349 0.8651 0.5000  1 K 3.10, 2 Se 3.17
6 K 0.8651 0.3651 0.5000  1 K 3.10, 2 Se 3.17
7 K 0.3651 0.1349 0.5000  1 K 3.10, 2 Se 3.17
8 K 0.1349 0.6349 0.5000  1 K 3.10, 2 Se 3.17
9 Sn 0.0000 0.0000 0.0000  4 Se 2.99
10 Sn 0.5000 0.5000 0.0000  4 Se 2.99

M_tot: 0.00 μB per formula unit
Calculated volume: 308.2 Å³ per cell

Entry 2
This record from Alexandria describes a geometry-optimized K2SnSe2 structure. The functional is PBE.

abc: 8.7411 8.7411 3.8667
angles: 90.00 90.00 90.00
With the nearest neighbours (Å) after each atom.
Fractional coordinates of all 10 atoms:
1 Se 0.1863 0.6863 0.5000  6 K 3.10-3.34
2 Se 0.3137 0.1863 0.5000  6 K 3.10-3.34
3 Se 0.8137 0.3137 0.5000  6 K 3.10-3.34
4 Se 0.6863 0.8137 0.5000  6 K 3.10-3.34
5 K 0.6181 0.1181 0.0000  1 K 2.92, 2 Se 3.10
6 K 0.8819 0.6181 0.0000  1 K 2.92, 2 Se 3.10
7 K 0.3819 0.8819 0.0000  1 K 2.92, 2 Se 3.10
8 K 0.1181 0.3819 0.0000  1 K 2.92, 2 Se 3.10
9 Sn 0.0000 0.0000 0.0000  4 K 3.49, 8 Se 3.73, 2 Sn 3.87
10 Sn 0.5000 0.5000 0.0000  4 K 3.49, 8 Se 3.73, 2 Sn 3.87

M_tot: 0.00 μB per formula unit
Calculated volume: 295.4 Å³ per cell

Stability order, top to bottom: entry 1, entry 2